No. 1
ScPt4Br | the Alexandria database | PBE | relaxed; raw formation energy = -0.340 eV/atom; final energy = -5.70 eV/atom; total magnetic moment = 0.00 μB/f.u.; crystal system = cubic; space group = F-43m, No. 216
1.0
0.000 3.799 3.799
3.799 0.000 3.799
3.799 3.799 0.000
Sc Pt Br
1 4 1
Direct
0.000 0.000 0.000
0.375 0.375 0.375
0.375 0.375 0.876
0.375 0.876 0.375
0.876 0.375 0.375
0.750 0.750 0.750

=====

No. 2
ScPtBr2 | the Alexandria database | PBE | relaxed; raw formation energy = -0.118 eV/atom; final energy = -4.05 eV/atom; total magnetic moment = 0.00 μB/f.u.; crystal system = orthorhombic; space group = Cmmm, No. 65
1.0
1.718 -2.874 0.000
1.718 2.874 0.000
0.000 0.000 9.174
Sc Pt Br
1 1 2
Direct
0.000 0.000 0.000
0.000 0.000 0.500
0.500 0.500 0.219
0.500 0.500 0.781

=====

No. 3
ScPtSe2Br | the Alexandria database | PBE | relaxed; raw formation energy = -0.112 eV/atom; final energy = -4.31 eV/atom; total magnetic moment = 0.28 μB/f.u.; crystal system = tetragonal; space group = P4/mmm, No. 123
1.0
5.003 0.000 0.000
0.000 5.003 0.000
0.000 0.000 5.003
Sc Pt Se Br
1 1 2 1
Direct
0.000 0.000 0.000
0.500 0.500 0.500
0.000 0.500 0.500
0.500 0.000 0.500
0.500 0.500 0.000

=====

No. 4
ScPtSe2Br | the Alexandria database | PBE | relaxed; raw formation energy = 0.068 eV/atom; final energy = -4.14 eV/atom; total magnetic moment = 0.83 μB/f.u.; crystal system = tetragonal; space group = P4/mmm, No. 123
1.0
5.192 0.000 0.000
0.000 5.192 0.000
0.000 0.000 4.991
Sc Pt Se Br
1 1 2 1
Direct
0.000 0.000 0.000
0.500 0.500 0.500
0.000 0.500 0.000
0.500 0.000 0.000
0.000 0.000 0.500

=====

No. 5
ScTi2PtBr | the Alexandria database | PBE | relaxed; raw formation energy = 0.004 eV/atom; final energy = -5.96 eV/atom; total magnetic moment = 2.37 μB/f.u.; crystal system = tetragonal; space group = P4/mmm, No. 123
1.0
4.920 0.000 0.000
0.000 4.920 0.000
0.000 0.000 5.191
Sc Ti Pt Br
1 2 1 1
Direct
0.000 0.000 0.000
0.000 0.500 0.500
0.500 0.000 0.500
0.000 0.000 0.500
0.500 0.500 0.000

=====

No. 6
PtSe2Br | the Alexandria database | PBE | relaxed; raw formation energy = 0.240 eV/atom; final energy = -3.43 eV/atom; total magnetic moment = 0.00 μB/f.u.; crystal system = tetragonal; space group = P4mm, No. 99
1.0
3.422 0.000 0.000
0.000 3.422 0.000
0.000 0.000 8.603
Pt Se Br
1 2 1
Direct
0.000 0.000 0.000
0.000 0.000 0.279
0.500 0.500 0.888
0.500 0.500 0.600

=====

No. 7
PtSe2Br | the Alexandria database | PBE | relaxed; raw formation energy = -0.087 eV/atom; final energy = -3.76 eV/atom; total magnetic moment = 0.00 μB/f.u.; crystal system = orthorhombic; space group = Pmmn, No. 59
1.0
3.663 0.000 0.000
0.000 6.818 0.000
0.000 0.000 7.346
Pt Se Br
2 4 2
Direct
0.250 0.250 0.067
0.750 0.750 0.933
0.250 0.518 0.820
0.250 0.982 0.820
0.750 0.018 0.180
0.750 0.482 0.180
0.250 0.750 0.423
0.750 0.250 0.577

=====

No. 8
PtSe2Br | the Alexandria database | PBE | relaxed; raw formation energy = 0.014 eV/atom; final energy = -3.66 eV/atom; total magnetic moment = 0.00 μB/f.u.; crystal system = orthorhombic; space group = Imm2, No. 44
1.0
-1.760 2.543 6.499
1.760 -2.543 6.499
1.760 2.543 -6.499
Pt Se Br
1 2 1
Direct
0.000 0.000 0.000
0.128 0.628 0.500
0.567 0.567 0.000
0.859 0.359 0.500